The following is a PBE+U calculation of a relaxed structure of Zn3Ni5O12, from the Alexandria database.

Geometry as extended XYZ:
```
80
Lattice="-6.276 -8.187 0.739 4.522 1.714 9.142 -5.496 8.321 -2.741" Properties=species:S:1:pos:R:3 pbc="T T T"
Ni -3.138 -4.093 0.370
Zn -0.901 0.081 5.306
O -2.528 3.360 0.310
Ni 1.701 0.493 7.841
O -1.103 6.642 3.902
O -4.940 -2.738 3.933
Zn -3.065 1.288 0.300
O -3.197 -0.309 2.225
Ni -1.340 -1.537 7.776
O 0.567 0.564 3.825
O -6.666 -2.623 2.150
Zn -4.853 -1.568 1.720
Ni -1.910 -1.602 2.220
O -1.325 -5.078 8.706
O -4.587 4.493 -1.225
O -1.869 1.444 3.969
O -2.956 7.395 1.325
Zn -4.463 6.686 -0.020
O -4.515 5.163 1.967
O -7.818 1.284 3.316
Ni -0.487 5.017 3.201
O -5.501 1.681 -0.129
O -0.677 1.397 1.049
O -5.381 0.404 3.172
O -3.880 2.077 2.115
O -6.148 -4.795 3.239
O 1.481 0.068 6.081
O -6.697 3.699 0.980
O 2.848 1.832 8.309
O 1.639 4.096 7.196
Zn -3.552 6.305 3.500
O -3.366 7.083 5.486
O -6.398 -0.475 0.718
Ni 0.546 3.382 5.921
O -0.852 2.323 6.422
Ni -3.942 -1.949 5.240
O -10.098 0.016 -1.169
Ni -5.886 0.067 -1.001
O -3.152 -2.866 1.785
Ni -3.625 0.924 3.570
O -4.053 2.157 4.915
Ni -7.796 -1.534 1.219
O -3.885 -5.236 1.654
Zn -2.787 -4.838 7.161
Zn -2.397 3.416 5.421
O -6.573 0.451 6.091
Ni -0.877 -3.237 4.941
Ni -5.911 3.385 -0.636
O -6.388 3.684 3.445
Zn -0.950 6.717 6.036
O -1.749 0.167 7.270
O -4.915 -3.533 0.168
Ni 2.261 0.857 4.571
O -0.862 -1.837 3.695
O -3.073 2.253 7.534
O -5.925 6.926 -1.566
O -2.310 4.586 3.208
O -4.099 4.713 5.355
O -8.889 -2.248 -0.056
Ni -3.308 3.797 1.900
O -0.553 -1.851 6.160
O -8.731 1.780 1.059
O -0.584 4.470 4.990
O -3.371 -0.230 5.025
Ni -6.787 0.148 4.305
Ni -0.463 1.700 2.835
Zn -6.301 -4.869 1.104
O -2.664 -2.646 8.365
O -4.294 -5.547 5.815
Ni -2.748 4.161 -1.370
O -4.722 -1.513 6.831
O -4.178 -0.405 -0.393
Zn -6.349 1.767 1.835
O -2.335 5.381 6.973
Ni 0.000 0.000 0.000
O -2.735 -3.315 5.173
Zn -4.185 0.560 6.841
Ni -5.340 3.449 4.920
Ni -8.951 1.355 -0.701
Zn -3.698 -4.457 3.640
```

Properties
**Energy**: -4.40 eV per atom
**Size of the total moment**: 8.0 μB/f.u.